[1]
Entry from the Alexandria database: crystalline KTcRu3 at its relaxed geometry (GGA-PBE).

It has space group Pm-3m (No. 221), with a = 4.758 Å, b = 4.758 Å, c = 4.758 Å, α = 90.00°, β = 90.00° and γ = 90.00°. The distinct sites, in fractional coordinates, are K at (0.000, 0.000, 0.000), Tc at (0.500, 0.500, 0.500) and Ru at (0.000, 0.500, 0.500).

As for the excess energy over the best structure of this formula in the dataset: 0.0 meV/atom. Its total magnetization is 1.84 μB/f.u. The calculated total energy comes out at -6.396 eV per atom.

[2]
Entry from the Alexandria database: crystalline CaMgAs at its relaxed geometry (GGA-PBE).

It has space group P3m1 (No. 156), with a = 4.4467 Å, b = 4.4467 Å, c = 4.3377 Å, α = 90.00°, β = 90.00° and γ = 120.00°. The distinct sites, in fractional coordinates, are Ca at (0.0000, 0.0000, 0.0000), Mg at (0.6667, 0.3333, 0.5021) and As at (0.3333, 0.6667, 0.4961).

As for the excess energy over the best structure of this formula in the dataset: 0.0 meV/atom. Its total magnetization is 0.00 μB/f.u. The calculated total energy comes out at -3.407 eV per atom.